{
  "formula": "ReAg2Hg",
  "functional": "PBE",
  "state": "optimized geometry",
  "cell": [[3.934, 0.000, 0.000], [0.000, 3.934, 0.000], [1.967, 1.967, 10.117]],
  "species": ["Re", "Re", "Hg", "Hg", "Ag", "Ag", "Ag", "Ag"],
  "fractional_positions": [[0.250, 0.750, 0.500], [0.500, 0.500, 0.000], [0.750, 0.250, 0.500], [0.000, 0.000, 0.000], [0.132, 0.625, 0.250], [0.618, 0.125, 0.250], [0.375, 0.382, 0.750], [0.875, 0.868, 0.750]]
}

---

{
  "formula": "Y2FeRu",
  "functional": "PBE",
  "state": "optimized geometry",
  "cell": [[4.788, 0.000, 0.000], [2.394, 4.146, 0.000], [2.394, 1.382, 3.909]],
  "species": ["Ru", "Y", "Y", "Fe"],
  "fractional_positions": [[0.250, 0.250, 0.250], [0.750, 0.750, 0.750], [0.000, 0.000, 0.000], [0.500, 0.500, 0.500]]
}

---

{
  "formula": "Ca2PmDy",
  "functional": "PBE",
  "state": "optimized geometry",
  "polymorph_energy_ev_per_atom": 0.113,
  "cell": [[4.161, 0.000, 0.000], [0.000, 4.161, 0.000], [0.000, 0.000, 8.343]],
  "species": ["Ca", "Ca", "Pm", "Dy"],
  "fractional_positions": [[0.000, 0.000, 0.255], [0.000, 0.000, 0.745], [0.500, 0.500, 0.000], [0.500, 0.500, 0.500]]
}

---

Record order is preserved below.
Formation energy: 1.071 0.242 0.161 eV per atom